Cu2Tc after structural relaxation. Source: Alexandria, functional PBE.

Values from the calculation:
mass density: 9.29 g/cm³
magnetization: 0.0 μB/cell
V: 13.41 A^3/atom
DOS at the Fermi energy: 4.141 states/eV per cell
energy above the lowest structure with this stoichiometry: 0.115 eV per atom
space-group type: I4_1/amd
energy of formation from the pure elements: 0.2689 eV per atom

abc: 12.776 12.776 12.776
angles: 168.67 168.67 16.05
Atoms (fractional coordinates):
Cu1 0.168 0.668 0.500
Cu2 0.418 0.418 0.000
Cu3 0.582 0.582 0.000
Tc1 0.750 0.250 0.500
Tc2 0.000 0.000 0.000
Cu4 0.332 0.832 0.500